No. 1
Li7OsO6 | PBE | optimized geometry

a = 5.4942 Å, b = 5.4942 Å, c = 14.3414 Å
α = 90.00°, β = 90.00°, γ = 120.00°
With the nearest neighbours (Å) after each atom.
Space group R3 (No. 146, hexagonal axes)
Asymmetric unit:
Li  0.0000  0.0000  0.0000 x3  3 O 2.07
Li  0.0537  0.7104  0.8770 x9  4 O 1.85-2.01
Li  0.0619  0.3813  0.1017 x9  4 O 1.91-2.01
Os  0.0000  0.0000  0.6561 x3  6 O 1.98-2.02
O  0.0071  0.2953  0.5745 x9  4 Li 1.85-2.01, 1 Os 1.98
O  0.0177  0.6329  0.4036 x9  5 Li 1.91-2.07, 1 Os 2.02

Computed properties:
Total energy: -233.7 eV for the cell shown

No. 2
RbAcNb | PBE | optimized geometry

a = 8.2342 Å, b = 8.2342 Å, c = 8.2342 Å
α = 90.00°, β = 90.00°, γ = 90.00°
With the nearest neighbours (Å) after each atom.
Space group F-43m (No. 216)
Asymmetric unit:
Rb  0.0000  0.0000  0.0000 x4  4 Nb 3.57
Ac  0.0000  0.0000  0.5000 x4  4 Nb 3.57
Nb  0.2500  0.2500  0.7500 x4  4 Rb 3.57, 4 Ac 3.57

Computed properties:
Energy above the most stable polymorph in this dataset: 0 meV per atom

No. 3
HgPtNO | PBE | optimized geometry

a = 5.7252 Å, b = 7.2609 Å, c = 5.4150 Å
α = 90.00°, β = 90.00°, γ = 90.00°
With the nearest neighbours (Å) after each atom.
Space group Pca2_1 (No. 29)
Asymmetric unit:
Hg  0.0271  0.1654  0.0000 x4  3 N 2.27-2.43
Pt  0.1032  0.6613  0.0667 x4  1 N 1.91, 2 O 2.05-2.11
N  0.0848  0.1522  0.4187 x4  1 Pt 1.91
O  0.1654  0.4959  0.7532 x4  3 Pt 2.05-2.17

Computed properties:
Energy above the most stable polymorph in this dataset: 78 meV per atom

No. 4
LuSnGe | PBE | optimized geometry

a = 6.8591 Å, b = 6.8591 Å, c = 6.8591 Å
α = 90.00°, β = 90.00°, γ = 90.00°
With the nearest neighbours (Å) after each atom.
Space group F-43m (No. 216)
Asymmetric unit:
Lu  0.0000  0.0000  0.0000 x4  4 Ge 2.97
Sn  0.0000  0.0000  0.5000 x4  4 Ge 2.97
Ge  0.2500  0.2500  0.2500 x4  4 Sn 2.97, 4 Lu 2.97

Computed properties:
Energy above the most stable polymorph in this dataset: 251 meV per atom

No. 5
SrTmAuO3 | PBE | optimized geometry

a = 3.5979 Å, b = 12.9522 Å, c = 8.5718 Å
α = 90.00°, β = 90.00°, γ = 90.00°
With the nearest neighbours (Å) after each atom.
Space group Cmcm (No. 63)
Asymmetric unit:
Sr  0.0000  0.1785  0.2500 x4  4 O 2.40-2.43
Tm  0.0000  0.5000  0.0000 x4  6 O 2.26-2.31
Au  0.0000  0.1212  0.7500 x4  2 O 2.02
O  0.0000  0.1114  0.5149 x8  1 Au 2.02
O  0.0000  0.4442  0.7500 x4  2 Tm 2.26, 2 Sr 2.40

Computed properties:
Total energy: -153.8 eV for the cell shown

No. 6
KRe | PBE | optimized geometry

a = 7.9292 Å, b = 7.9292 Å, c = 7.9292 Å
α = 90.00°, β = 90.00°, γ = 90.00°
With the nearest neighbours (Å) after each atom.
Space group F-43m (No. 216)
Asymmetric unit:
K  0.0000  0.0000  0.0000 x4  4 Re 3.43
Re  0.2500  0.2500  0.7500 x4  4 K 3.43

Computed properties:
Energy above the most stable polymorph in this dataset: 2045 meV per atom

No. 7
BeOs2 | PBE | optimized geometry

a = 7.1651 Å, b = 7.1651 Å, c = 7.1651 Å
α = 90.00°, β = 90.00°, γ = 90.00°
With the nearest neighbours (Å) after each atom.
Space group Fd-3m (No. 227, origin choice 2)
Asymmetric unit:
Be  0.1250  0.1250  0.1250 x8  12 Os 2.97, 4 Be 3.10
Os  0.0000  0.0000  0.5000 x16  6 Os 2.53

Computed properties:
Total energy: -186.0 eV for the cell shown

No. 8
YHoAlCo2 | PBE | optimized geometry

a = 3.8658 Å, b = 3.7624 Å, c = 13.0839 Å
α = 90.00°, β = 90.00°, γ = 90.00°
With the nearest neighbours (Å) after each atom.
Space group Amm2 (No. 38)
Asymmetric unit:
Y  0.0000  0.0000  0.0000 x2  6 Co 2.85-2.92
Ho  0.0000  0.0000  0.7321 x2  6 Co 2.83-2.88
Al  0.5000  0.0000  0.3658 x2  2 Co 2.60-2.66
Co  0.5000  0.0000  0.1671 x2  2 Co 2.27
Co  0.5000  0.0000  0.5694 x2  2 Co 2.27

Computed properties:
Energy above the most stable polymorph in this dataset: 85 meV per atom

No. 9
Nb2AlTe2 | PBE | optimized geometry

a = 3.9703 Å, b = 3.9703 Å, c = 15.9900 Å
α = 90.00°, β = 90.00°, γ = 90.00°
With the nearest neighbours (Å) after each atom.
Space group I4/mmm (No. 139)
Asymmetric unit:
Nb  0.0000  0.5000  0.2500 x4  4 Nb 2.81, 4 Te 2.87
Al  0.0000  0.0000  0.0000 x2  8 Te 3.40
Te  0.0000  0.0000  0.3798 x4  4 Nb 2.87

Computed properties:
Total energy: -60.3 eV for the cell shown

No. 10
NaSmNi | PBE | optimized geometry

a = 6.5778 Å, b = 6.5778 Å, c = 6.5778 Å
α = 90.00°, β = 90.00°, γ = 90.00°
With the nearest neighbours (Å) after each atom.
Space group F-43m (No. 216)
Asymmetric unit:
Na  0.0000  0.0000  0.0000 x4  4 Ni 2.85, 4 Sm 2.85
Sm  0.2500  0.2500  0.2500 x4  4 Na 2.85
Ni  0.2500  0.2500  0.7500 x4  4 Na 2.85

Computed properties:
Energy above the most stable polymorph in this dataset: 117 meV per atom

No. 11
NaNpIr | PBE | optimized geometry

a = 6.5501 Å, b = 6.5501 Å, c = 6.5501 Å
α = 90.00°, β = 90.00°, γ = 90.00°
With the nearest neighbours (Å) after each atom.
Space group F-43m (No. 216)
Asymmetric unit:
Na  0.0000  0.0000  0.0000 x4  4 Np 2.84
Np  0.2500  0.2500  0.7500 x4  4 Na 2.84, 4 Ir 2.84
Ir  0.0000  0.0000  0.5000 x4  4 Np 2.84

Computed properties:
Total energy: -82.1 eV for the cell shown

No. 12
Zr4CdCuN2 | PBE | optimized geometry

a = 3.2898 Å, b = 3.2898 Å, c = 14.2249 Å
α = 90.00°, β = 90.00°, γ = 120.00°
With the nearest neighbours (Å) after each atom.
Space group P-6m2 (No. 187)
Asymmetric unit:
Zr  0.0000  0.0000  0.1480 x2  3 N 2.28
Zr  0.6667  0.3333  0.3237 x2  3 N 2.27
Cd  0.0000  0.0000  0.5000 x1  6 Zr 3.15, 6 Cd 3.29
Cu  0.6667  0.3333  0.0000 x1  6 Zr 2.84
N  0.3333  0.6667  0.2369 x2  6 Zr 2.27-2.28

Computed properties:
Total energy: -62.4 eV for the cell shown

No. 13
CuSiTcOs | PBE | optimized geometry

a = 5.9908 Å, b = 5.9908 Å, c = 5.9908 Å
α = 90.00°, β = 90.00°, γ = 90.00°
With the nearest neighbours (Å) after each atom.
Space group F-43m (No. 216)
Asymmetric unit:
Cu  0.0000  0.0000  0.0000 x4  4 Tc 2.59, 4 Si 2.59
Si  0.2500  0.2500  0.7500 x4  4 Os 2.59, 4 Cu 2.59
Tc  0.2500  0.2500  0.2500 x4  4 Os 2.59, 4 Cu 2.59
Os  0.0000  0.0000  0.5000 x4  4 Tc 2.59, 4 Si 2.59

Computed properties:
Energy above the most stable polymorph in this dataset: 0 meV per atom

No. 14
PrYAg2As4 | PBE | optimized geometry

a = 4.0390 Å, b = 4.0390 Å, c = 10.4774 Å
α = 90.00°, β = 90.00°, γ = 90.00°
With the nearest neighbours (Å) after each atom.
Space group P4mm (No. 99)
Asymmetric unit:
Pr  0.0000  0.0000  0.0000 x1  8 As 3.03-3.17
Y  0.5000  0.5000  0.5453 x1  8 As 2.99-3.08
Ag  0.0000  0.5000  0.2786 x2  4 As 2.78-2.79, 4 Ag 2.86
As  0.0000  0.0000  0.4623 x1  4 Ag 2.79, 4 Y 2.99
As  0.0000  0.5000  0.7667 x2  4 As 2.86, 2 Y 3.08, 2 Pr 3.17
As  0.5000  0.5000  0.0958 x1  4 Ag 2.78, 4 Pr 3.03

Computed properties:
Total energy: -41.6 eV for the cell shown

No. 15
Li2ZnAu | PBE | optimized geometry

a = 9.7159 Å, b = 4.5196 Å, c = 5.4405 Å
α = 90.00°, β = 90.00°, γ = 90.00°
With the nearest neighbours (Å) after each atom.
Space group Pnma (No. 62)
Asymmetric unit:
Li  0.1674  0.2500  0.0012 x4  4 Li 2.71-2.77, 4 Zn 2.74-2.83, 4 Au 2.74-2.82
Li  0.1676  0.2500  0.4998 x4  4 Li 2.71-2.77, 4 Zn 2.74-2.83, 4 Au 2.74-2.83
Zn  0.0771  0.7500  0.2505 x4  4 Au 2.72-2.77, 8 Li 2.74-2.83
Au  0.0873  0.7500  0.7504 x4  4 Zn 2.72-2.77, 8 Li 2.74-2.83

Computed properties:
Total energy: -40.0 eV for the cell shown

No. 16
PuNbZn | PBE | optimized geometry

a = 6.2994 Å, b = 6.2994 Å, c = 6.2994 Å
α = 90.00°, β = 90.00°, γ = 90.00°
With the nearest neighbours (Å) after each atom.
Space group F-43m (No. 216)
Asymmetric unit:
Pu  0.0000  0.0000  0.0000 x4  4 Zn 2.73, 4 Nb 2.73
Nb  0.2500  0.2500  0.7500 x4  4 Pu 2.73
Zn  0.2500  0.2500  0.2500 x4  4 Pu 2.73

Computed properties:
Energy above the most stable polymorph in this dataset: 415 meV per atom
Energy of formation: 3.08 eV per formula unit

No. 17
AlRe2 | PBE | optimized geometry

a = 2.9906 Å, b = 2.9906 Å, c = 9.6900 Å
α = 90.00°, β = 90.00°, γ = 90.00°
With the nearest neighbours (Å) after each atom.
Space group I4/mmm (No. 139)
Asymmetric unit:
Al  0.0000  0.0000  0.0000 x2  8 Re 2.68, 4 Al 2.99
Re  0.0000  0.0000  0.3302 x4  4 Re 2.62, 4 Al 2.68

Computed properties:
Total energy: -58.7 eV for the cell shown

No. 18
TlIrF6 | PBE | optimized geometry

a = 4.9227 Å, b = 4.9227 Å, c = 14.4178 Å
α = 90.00°, β = 90.00°, γ = 120.00°
With the nearest neighbours (Å) after each atom.
Space group R-3 (No. 148, hexagonal axes)
Asymmetric unit:
Tl  0.0000  0.0000  0.0000 x3  6 F 2.25
Ir  0.0000  0.0000  0.5000 x3  6 F 1.97
F  0.0133  0.3867  0.9136 x18  1 Ir 1.97

Computed properties:
Energy above the most stable polymorph in this dataset: 64 meV per atom

No. 19
BaScAu | PBE | optimized geometry

a = 7.2445 Å, b = 7.2445 Å, c = 7.2445 Å
α = 90.00°, β = 90.00°, γ = 90.00°
With the nearest neighbours (Å) after each atom.
Space group F-43m (No. 216)
Asymmetric unit:
Ba  0.0000  0.0000  0.0000 x4  4 Sc 3.14, 4 Au 3.14
Sc  0.2500  0.2500  0.2500 x4  4 Ba 3.14
Au  0.2500  0.2500  0.7500 x4  4 Ba 3.14

Computed properties:
Energy above the most stable polymorph in this dataset: 376 meV per atom

No. 20
NdCuPbS3 | PBE | optimized geometry

a = 7.7361 Å, b = 3.9773 Å, c = 9.5597 Å
α = 90.00°, β = 104.04°, γ = 90.00°
With the nearest neighbours (Å) after each atom.
Space group P2_1/m (No. 11)
Asymmetric unit:
Nd  0.2017  0.2500  0.1556 x2  6 S 2.80-2.86
Cu  0.4237  0.7500  0.4124 x2  4 S 2.36-2.44
Pb  0.2535  0.7500  0.6969 x2  6 S 3.00-3.05, 1 Cu 3.30
S  0.0630  0.2500  0.8496 x2  3 Nd 2.85-2.86, 2 Pb 3.05
S  0.2634  0.2500  0.4580 x2  3 Cu 2.44
S  0.4615  0.7500  0.1752 x2  1 Cu 2.36

Computed properties:
Total energy: -61.7 eV for the cell shown

No. 21
CoNiSbAu | PBE | optimized geometry

a = 6.2200 Å, b = 6.2200 Å, c = 6.2200 Å
α = 90.00°, β = 90.00°, γ = 90.00°
With the nearest neighbours (Å) after each atom.
Space group F-43m (No. 216)
Asymmetric unit:
Co  0.0000  0.0000  0.0000 x4  4 Au 2.69, 4 Sb 2.69
Ni  0.0000  0.0000  0.5000 x4  4 Sb 2.69, 4 Au 2.69
Sb  0.2500  0.2500  0.7500 x4  4 Co 2.69, 4 Ni 2.69
Au  0.2500  0.2500  0.2500 x4  4 Co 2.69, 4 Ni 2.69

Computed properties:
Energy above the most stable polymorph in this dataset: 0 meV per atom

No. 22
KNaP2Os2 | PBE | optimized geometry

a = 4.0316 Å, b = 4.0316 Å, c = 8.4790 Å
α = 90.00°, β = 90.00°, γ = 90.00°
With the nearest neighbours (Å) after each atom.
Space group P4mm (No. 99)
Asymmetric unit:
K  0.0000  0.0000  0.0000 x1  4 P 3.30, 4 Os 3.52
Na  0.5000  0.5000  0.3802 x1  4 P 3.07, 4 Os 3.11
P  0.0000  0.0000  0.5154 x1  4 Os 2.36
P  0.5000  0.5000  0.8029 x1  4 Os 2.35
Os  0.0000  0.5000  0.6594 x2  4 P 2.35-2.36

Computed properties:
Total energy: -37.6 eV for the cell shown

No. 23
La2Sm2CBr3Cl2 | PBE | optimized geometry

a = 17.8745 Å, b = 3.9355 Å, c = 8.3282 Å
α = 90.00°, β = 104.22°, γ = 90.00°
With the nearest neighbours (Å) after each atom.
Space group C2/m (No. 12)
Asymmetric unit:
La  0.1484  0.0000  0.0820 x4  1 C 2.57
Sm  0.0022  0.5000  0.7968 x4  2 C 2.60, 1 Cl 2.88
C  0.0000  0.0000  0.0000 x2  2 La 2.57, 4 Sm 2.60
Br  0.0000  0.0000  0.5000 x2  4 Sm 3.15
Br  0.1644  0.5000  0.3601 x4  1 Sm 2.94, 2 La 3.00
Cl  0.1667  0.5000  0.8327 x4  1 Sm 2.88, 3 La 2.94-3.21

Computed properties:
Energy above the most stable polymorph in this dataset: 5 meV per atom

No. 24
Li2Ta2SiSnOs2 | PBE | optimized geometry

a = 4.3755 Å, b = 4.3755 Å, c = 6.2525 Å
α = 90.00°, β = 90.00°, γ = 90.00°
With the nearest neighbours (Å) after each atom.
Space group P-4m2 (No. 115)
Asymmetric unit:
Li  0.0000  0.5000  0.2337 x2  4 Ta 2.63-2.75, 2 Si 2.63, 2 Sn 2.75, 1 Os 2.95
Ta  0.0000  0.0000  0.0000 x1  4 Li 2.63, 4 Os 2.64
Ta  0.5000  0.5000  0.5000 x1  4 Os 2.74, 4 Li 2.75
Si  0.5000  0.5000  0.0000 x1  4 Li 2.63, 4 Os 2.64
Sn  0.0000  0.0000  0.5000 x1  4 Os 2.74, 4 Li 2.75
Os  0.0000  0.5000  0.7626 x2  4 Ta 2.64-2.74, 2 Si 2.64, 2 Sn 2.74, 1 Li 2.95

Computed properties:
Total energy: -62.3 eV for the cell shown

No. 25
TbSmNb | PBE | optimized geometry

a = 7.2192 Å, b = 7.2192 Å, c = 7.2192 Å
α = 90.00°, β = 90.00°, γ = 90.00°
With the nearest neighbours (Å) after each atom.
Space group F-43m (No. 216)
Asymmetric unit:
Tb  0.0000  0.0000  0.0000 x4  4 Nb 3.13
Sm  0.0000  0.0000  0.5000 x4  4 Nb 3.13
Nb  0.2500  0.2500  0.7500 x4  4 Tb 3.13, 4 Sm 3.13

Computed properties:
Energy above the most stable polymorph in this dataset: 0 meV per atom
Energy of formation: 2.40 eV per formula unit

No. 26
Sc4TlZnN2 | PBE | optimized geometry

a = 3.2573 Å, b = 3.2573 Å, c = 14.4315 Å
α = 90.00°, β = 90.00°, γ = 120.00°
With the nearest neighbours (Å) after each atom.
Space group P-6m2 (No. 187)
Asymmetric unit:
Sc  0.0000  0.0000  0.1562 x2  3 N 2.27
Sc  0.3333  0.6667  0.3249 x2  3 N 2.21
Tl  0.0000  0.0000  0.5000 x1  6 Sc 3.15, 6 Tl 3.26
Zn  0.3333  0.6667  0.0000 x1  6 Sc 2.94, 6 Zn 3.26
N  0.6667  0.3333  0.2445 x2  6 Sc 2.21-2.27

Computed properties:
Total energy: -54.2 eV for the cell shown